AsSe3N: optimized geometry, GGA-PBE.

Geometry as CIF:
```
data_AsSe3N
_chemical_formula_sum 'As1 Se3 N1'
_cell_length_a 5.0958
_cell_length_b 5.0958
_cell_length_c 5.0958
_cell_angle_alpha 90.00
_cell_angle_beta 90.00
_cell_angle_gamma 90.00
_symmetry_space_group_name_H-M 'P 1'
_symmetry_Int_Tables_number 1
loop_
_symmetry_equiv_pos_as_xyz
'x,y,z'
loop_
_atom_site_label
_atom_site_type_symbol
_atom_site_fract_x
_atom_site_fract_y
_atom_site_fract_z
As1 As 0.0000 0.0000 0.0000
Se1 Se 0.0000 0.0000 0.5000
Se2 Se 0.0000 0.5000 0.0000
Se3 Se 0.5000 0.0000 0.0000
N1 N 0.5000 0.5000 0.5000
```

- V: 132.3 Å³/cell
- Raw formation energy: 1.525 eV per atom


AsSeN: optimized geometry, GGA-PBE.

Geometry as CIF:
```
data_AsSeN
_chemical_formula_sum 'As2 Se2 N2'
_cell_length_a 3.4244
_cell_length_b 5.2587
_cell_length_c 6.0505
_cell_angle_alpha 91.03
_cell_angle_beta 90.66
_cell_angle_gamma 96.72
_symmetry_space_group_name_H-M 'P 1'
_symmetry_Int_Tables_number 1
loop_
_symmetry_equiv_pos_as_xyz
'x,y,z'
loop_
_atom_site_label
_atom_site_type_symbol
_atom_site_fract_x
_atom_site_fract_y
_atom_site_fract_z
As1 As 0.0318 0.0529 0.2933
As2 As 0.9682 0.9471 0.7067
Se1 Se 0.4617 0.5509 0.2073
Se2 Se 0.5383 0.4491 0.7927
N1 N 0.4286 0.7488 0.6612
N2 N 0.5714 0.2512 0.3388
```

- V: 108.2 Å³/cell
- Raw formation energy: 0.584 eV per atom


As2SeN: optimized geometry, GGA-PBE.

Geometry as CIF:
```
data_As2SeN
_chemical_formula_sum 'As4 Se2 N2'
_cell_length_a 7.1203
_cell_length_b 7.1203
_cell_length_c 7.1203
_cell_angle_alpha 137.25
_cell_angle_beta 137.25
_cell_angle_gamma 62.05
_symmetry_space_group_name_H-M 'P 1'
_symmetry_Int_Tables_number 1
loop_
_symmetry_equiv_pos_as_xyz
'x,y,z'
loop_
_atom_site_label
_atom_site_type_symbol
_atom_site_fract_x
_atom_site_fract_y
_atom_site_fract_z
As1 As 0.0137 0.6250 0.8887
As2 As 0.3750 0.2637 0.3887
As3 As 0.7363 0.1250 0.1113
As4 As 0.8750 0.9863 0.6113
Se1 Se 0.2500 0.7500 0.5000
Se2 Se 0.5000 0.5000 0.0000
N1 N 0.0000 0.0000 0.0000
N2 N 0.7500 0.2500 0.5000
```

- V: 164.4 Å³/cell
- Raw formation energy: 0.646 eV per atom


AsSe3N: optimized geometry, GGA-PBE.

Geometry as CIF:
```
data_AsSe3N
_chemical_formula_sum 'As1 Se3 N1'
_cell_length_a 4.4465
_cell_length_b 4.4465
_cell_length_c 4.4465
_cell_angle_alpha 90.00
_cell_angle_beta 90.00
_cell_angle_gamma 90.00
_symmetry_space_group_name_H-M 'P 1'
_symmetry_Int_Tables_number 1
loop_
_symmetry_equiv_pos_as_xyz
'x,y,z'
loop_
_atom_site_label
_atom_site_type_symbol
_atom_site_fract_x
_atom_site_fract_y
_atom_site_fract_z
As1 As 0.0000 0.0000 0.0000
Se1 Se 0.0000 0.5000 0.5000
Se2 Se 0.5000 0.0000 0.5000
Se3 Se 0.5000 0.5000 0.0000
N1 N 0.5000 0.5000 0.5000
```

- V: 87.9 Å³/cell
- Raw formation energy: 0.980 eV per atom


- Which formula does entry 1 have?
  AsSe3N